No. 1
A plane-wave DFT calculation with PBEsol was carried out for a relaxed ZnSbI2N crystal.

The value obtained for the energy relative to the lowest polymorph listed for this composition is 585 meV/atom. The density of states at the Fermi level comes out at 2.87 states/eV per cell. The calculation puts the uncorrected formation energy at 1.250 eV/atom.

Lattice parameters (Å, degrees): 5.099 5.579 5.579 90.00 90.00 90.00
Fractional positions:
Sb 0.500 0.000 0.000
I 0.000 0.000 0.500
I 0.000 0.500 0.000
N 0.500 0.500 0.500
Zn 0.000 0.000 0.000

***

No. 2
A plane-wave DFT calculation with PBEsol was carried out for a relaxed HfZr3Br crystal.

The density of states at the Fermi level comes out at 3.72 states/eV per cell. The calculation puts the uncorrected formation energy at 0.261 eV/atom.

Lattice parameters (Å, degrees): 4.906 4.906 4.906 90.00 90.00 90.00
Fractional positions:
Hf 0.500 0.500 0.500
Br 0.000 0.000 0.000
Zr 0.000 0.500 0.000
Zr 0.500 0.000 0.000
Zr 0.000 0.000 0.500

***

No. 3
A plane-wave DFT calculation with PBEsol was carried out for a relaxed HfPtN2F crystal.

The density of states at the Fermi level comes out at 3.82 states/eV per cell. The calculation puts the uncorrected formation energy at -0.151 eV/atom.

Lattice parameters (Å, degrees): 3.873 4.186 4.186 90.00 90.00 90.00
Fractional positions:
Hf 0.000 0.000 0.000
F 0.500 0.000 0.000
N 0.000 0.500 0.000
N 0.000 0.000 0.500
Pt 0.500 0.500 0.500

***

No. 4
A plane-wave DFT calculation with PBEsol was carried out for a relaxed Ta2InCl crystal.

The value obtained for the energy relative to the lowest polymorph listed for this composition is 336 meV/atom. The density of states at the Fermi level comes out at 2.86 states/eV per cell. The calculation puts the uncorrected formation energy at 0.250 eV/atom.

Lattice parameters (Å, degrees): 2.942 5.425 5.716 117.16 104.92 90.00
Fractional positions:
Ta 0.748 0.193 0.497
Ta 0.019 0.138 0.039
Cl 0.467 0.451 0.933
In 0.266 0.718 0.532

***

No. 5
A plane-wave DFT calculation with PBEsol was carried out for a relaxed InAgO2 crystal.

The density of states at the Fermi level comes out at 0.36 states/eV per cell. The calculation puts the uncorrected formation energy at -1.051 eV/atom.

Lattice parameters (Å, degrees): 3.285 3.285 6.553 75.49 75.49 60.00
Fractional positions:
In 0.500 0.500 0.500
O 0.109 0.109 0.672
O 0.891 0.891 0.328
Ag 0.000 0.000 0.000

***

No. 6
A plane-wave DFT calculation with PBEsol was carried out for a relaxed Rb2Na2H crystal.

The density of states at the Fermi level comes out at 6.00 states/eV per cell. For the electronic total energy, the calculation gives -1.50 eV/atom.

Lattice parameters (Å, degrees): 7.685 7.685 7.725 90.00 90.00 90.00
Fractional positions:
Rb 0.210 0.290 0.000
Rb 0.790 0.710 0.000
Rb 0.290 0.790 0.000
Rb 0.710 0.210 0.000
H 0.500 0.500 0.000
H 0.000 0.000 0.000
Na 0.336 0.164 0.500
Na 0.836 0.336 0.500
Na 0.664 0.836 0.500
Na 0.164 0.664 0.500

***

No. 7
A plane-wave DFT calculation with PBEsol was carried out for a relaxed ZrTaGa2Sb crystal.

The density of states at the Fermi level comes out at 3.89 states/eV per cell. The calculation puts the uncorrected formation energy at 0.645 eV/atom.

Lattice parameters (Å, degrees): 4.833 4.833 5.196 90.00 90.00 90.00
Fractional positions:
Ga 0.000 0.500 0.000
Ga 0.500 0.000 0.000
Zr 0.500 0.500 0.500
Ta 0.000 0.000 0.000
Sb 0.000 0.000 0.500

***

No. 8
A plane-wave DFT calculation with PBEsol was carried out for a relaxed CrNi5 crystal.

The density of states at the Fermi level comes out at 9.51 states/eV per cell. The calculation puts the formation energy from the elements at 0.005 eV per atom.

Lattice parameters (Å, degrees): 2.438 2.438 10.521 90.00 90.00 90.00
Fractional positions:
Cr 0.500 0.500 0.000
Ni 0.000 0.000 0.500
Ni 0.000 0.000 0.833
Ni 0.000 0.000 0.167
Ni 0.500 0.500 0.664
Ni 0.500 0.500 0.336

***

No. 9
A plane-wave DFT calculation with PBEsol was carried out for a relaxed LiScB4H16 crystal.

The density of states at the Fermi level comes out at 0.00 states/eV per cell. For the electronic total energy, the calculation gives -4.30 eV/atom.

Lattice parameters (Å, degrees): 5.913 5.913 11.682 90.00 90.00 95.36
Fractional positions:
H 0.131 0.314 0.081
H 0.314 0.789 0.761
H 0.488 0.726 0.901
H 0.686 0.211 0.761
H 0.789 0.314 0.261
H 0.795 0.469 0.863
H 0.733 0.979 0.136
H 0.469 0.795 0.363
H 0.219 0.269 0.244
H 0.267 0.021 0.136
H 0.205 0.531 0.863
H 0.726 0.488 0.401
H 0.860 0.182 0.416
H 0.182 0.860 0.916
H 0.140 0.818 0.416
H 0.531 0.205 0.363
H 0.692 0.539 0.616
H 0.979 0.733 0.636
H 0.818 0.140 0.916
H 0.461 0.308 0.116
H 0.869 0.686 0.081
H 0.021 0.267 0.636
H 0.731 0.781 0.744
H 0.539 0.692 0.116
H 0.314 0.131 0.581
H 0.211 0.686 0.261
H 0.781 0.731 0.244
H 0.512 0.274 0.901
H 0.686 0.869 0.581
H 0.269 0.219 0.744
H 0.308 0.461 0.616
H 0.274 0.512 0.401
B 0.266 0.227 0.143
B 0.773 0.734 0.643
B 0.227 0.266 0.643
B 0.734 0.773 0.143
B 0.268 0.710 0.363
B 0.290 0.732 0.863
B 0.732 0.290 0.363
B 0.710 0.268 0.863
Sc 0.500 0.500 0.266
Sc 0.500 0.500 0.766
Li 0.000 0.000 0.042
Li 0.000 0.000 0.542

***

No. 10
A plane-wave DFT calculation with PBEsol was carried out for a relaxed NbP4S10Cl5 crystal.

The calculation puts the uncorrected formation energy at -0.469 eV/atom.

Lattice parameters (Å, degrees): 9.635 11.033 11.591 70.93 67.76 67.53
Fractional positions:
Nb 0.043 0.134 0.339
Nb 0.957 0.866 0.661
Cl 0.084 0.784 0.813
Cl 0.916 0.216 0.187
Cl 0.142 0.012 0.534
Cl 0.136 0.713 0.538
Cl 0.210 0.946 0.256
Cl 0.227 0.243 0.259
Cl 0.773 0.757 0.741
Cl 0.790 0.054 0.744
Cl 0.864 0.287 0.462
Cl 0.858 0.988 0.466
S 0.496 0.708 0.618
S 0.441 0.376 0.648
S 0.856 0.651 0.428
S 0.436 0.066 0.648
S 0.504 0.292 0.382
S 0.349 0.860 0.925
S 0.643 0.849 0.068
S 0.061 0.123 0.854
S 0.644 0.549 0.075
S 0.934 0.567 0.145
S 0.357 0.151 0.932
S 0.210 0.601 0.223
S 0.066 0.433 0.855
S 0.356 0.451 0.925
S 0.790 0.399 0.777
S 0.564 0.934 0.352
S 0.559 0.624 0.352
S 0.651 0.140 0.075
S 0.939 0.877 0.146
S 0.144 0.349 0.572
P 0.990 0.673 0.235
P 0.010 0.327 0.765
P 0.699 0.954 0.159
P 0.384 0.271 0.559
P 0.307 0.355 0.841
P 0.616 0.729 0.441
P 0.301 0.046 0.841
P 0.693 0.645 0.159

***

No. 11
A plane-wave DFT calculation with PBEsol was carried out for a relaxed In2SiAu crystal.

The density of states at the Fermi level comes out at 1.43 states/eV per cell. The calculation puts the uncorrected formation energy at 0.040 eV/atom.

Lattice parameters (Å, degrees): 3.548 3.548 8.046 77.26 77.26 60.00
Fractional positions:
In 0.991 0.991 0.026
In 0.759 0.759 0.724
Si 0.511 0.511 0.467
Au 0.239 0.239 0.283

***

No. 12
A plane-wave DFT calculation with PBEsol was carried out for a relaxed MnP2W crystal.

The density of states at the Fermi level comes out at 2.91 states/eV per cell. The calculation puts the formation energy from the elements at 0.133 eV per atom.

Lattice parameters (Å, degrees): 3.682 3.682 4.529 113.98 113.98 90.00
Fractional positions:
P 0.000 0.000 0.000
P 0.750 0.250 0.500
Mn 0.250 0.750 0.500
W 0.500 0.500 0.000